Entry 1:
VASP calculation (PBE) on HfZr2SnN after structural relaxation. Values from VASP.

Quantum ESPRESSO input file:
```
&SYSTEM
  ibrav = 0, nat = 5, ntyp = 4
/
ATOMIC_SPECIES
Hf 178.49 Hf.upf
Sn 118.71 Sn.upf
Zr 91.22 Zr.upf
N 14.01 N.upf
CELL_PARAMETERS angstrom
-1.910 3.945 -1.571
-3.320 -0.313 3.249
2.426 2.247 2.695
ATOMIC_POSITIONS crystal
Hf 0.000 0.000 0.500
Sn 0.500 0.500 0.500
Zr 0.000 0.500 0.000
Zr 0.500 0.000 0.000
N 0.000 0.000 0.000
```

## Properties
* space-group type: P4/mmm (123)
* electronic total energy: -43.52 eV for the cell shown
* energy relative to the elements, uncorrected: -0.829 eV per atom

Entry 2:
VASP calculation (PBE) on PrDyHgRu after structural relaxation. Values from VASP.

Quantum ESPRESSO input file:
```
&SYSTEM
  ibrav = 0, nat = 4, ntyp = 4
/
ATOMIC_SPECIES
Pr 140.91 Pr.upf
Dy 162.50 Dy.upf
Hg 200.59 Hg.upf
Ru 101.07 Ru.upf
CELL_PARAMETERS angstrom
3.538 0.000 0.000
0.000 3.538 0.000
0.000 0.000 7.706
ATOMIC_POSITIONS crystal
Pr 0.500 0.500 0.790
Dy 0.500 0.500 0.350
Hg 0.000 0.000 0.088
Ru 0.000 0.000 0.556
```

## Properties
* space-group type: P4mm (99)
* energy above the most stable polymorph in this dataset: 0.0 meV/atom
* electronic total energy: -20.48 eV for the cell shown

Entry 3:
VASP calculation (PBE) on NaScBeSe3 after structural relaxation. Values from VASP.

Quantum ESPRESSO input file:
```
&SYSTEM
  ibrav = 0, nat = 12, ntyp = 4
/
ATOMIC_SPECIES
Na 22.99 Na.upf
Sc 44.96 Sc.upf
Be 9.01 Be.upf
Se 78.96 Se.upf
CELL_PARAMETERS angstrom
-2.055 -3.142 -0.618
6.739 -3.784 -3.161
-0.045 -1.733 8.954
ATOMIC_POSITIONS crystal
Na 0.250 0.197 0.220
Na 0.750 0.803 0.780
Sc 0.250 0.668 0.145
Sc 0.750 0.332 0.855
Be 0.250 0.079 0.598
Be 0.750 0.921 0.402
Se 0.750 0.900 0.153
Se 0.250 0.100 0.847
Se 0.250 0.800 0.470
Se 0.750 0.200 0.530
Se 0.750 0.447 0.163
Se 0.250 0.553 0.837
```

## Properties
* space-group type: P2_1/m (11)
* electronic total energy: -58.99 eV for the cell shown
* energy relative to the elements, uncorrected: -1.278 eV per atom

Entry 4:
VASP calculation (PBE) on YAlTeN2 after structural relaxation. Values from VASP.

Quantum ESPRESSO input file:
```
&SYSTEM
  ibrav = 0, nat = 5, ntyp = 4
/
ATOMIC_SPECIES
Y 88.91 Y.upf
Te 127.60 Te.upf
Al 26.98 Al.upf
N 14.01 N.upf
CELL_PARAMETERS angstrom
-1.767 -3.140 1.798
0.720 -2.266 -3.250
4.816 -1.500 2.113
ATOMIC_POSITIONS crystal
Y 0.500 0.500 0.500
Te 0.000 0.000 0.500
Al 0.000 0.000 0.000
N 0.000 0.500 0.000
N 0.500 0.000 0.000
```

## Properties
* space-group type: P4/mmm (123)
* energy above the most stable polymorph in this dataset: 0.0 meV/atom
* electronic total energy: -29.14 eV for the cell shown
* energy relative to the elements, uncorrected: 0.173 eV per atom

Entry 5:
VASP calculation (PBE) on Pm3Pr2Cd2 after structural relaxation. Values from VASP.

Quantum ESPRESSO input file:
```
&SYSTEM
  ibrav = 0, nat = 7, ntyp = 3
/
ATOMIC_SPECIES
Pm 145.00 Pm.upf
Pr 140.91 Pr.upf
Cd 112.41 Cd.upf
CELL_PARAMETERS angstrom
-3.506 0.810 0.799
0.442 -1.387 3.345
6.457 14.479 5.152
ATOMIC_POSITIONS crystal
Pm 0.423 0.500 0.847
Pm 0.577 0.500 0.153
Pm 0.000 0.000 0.000
Pr 0.297 0.500 0.594
Pr 0.703 0.500 0.406
Cd 0.139 0.000 0.277
Cd 0.861 0.000 0.723
```

## Properties
* space-group type: Cmmm (65)
* energy above the most stable polymorph in this dataset: 42.5 meV/atom
* electronic total energy: -26.41 eV for the cell shown

Entry 6:
VASP calculation (PBE) on RbCo after structural relaxation. Values from VASP.

Quantum ESPRESSO input file:
```
&SYSTEM
  ibrav = 0, nat = 16, ntyp = 2
/
ATOMIC_SPECIES
Rb 85.47 Rb.upf
Co 58.93 Co.upf
CELL_PARAMETERS angstrom
-6.619 3.517 6.326
-3.579 -6.250 -0.270
5.197 -3.290 7.268
ATOMIC_POSITIONS crystal
Rb 0.173 0.250 0.269
Rb 0.673 0.250 0.231
Rb 0.827 0.750 0.731
Rb 0.327 0.750 0.769
Rb 0.104 0.250 0.786
Rb 0.604 0.250 0.714
Rb 0.896 0.750 0.214
Rb 0.396 0.750 0.286
Co 0.085 0.902 0.507
Co 0.585 0.598 0.993
Co 0.915 0.402 0.493
Co 0.415 0.098 0.007
Co 0.915 0.098 0.493
Co 0.415 0.402 0.007
Co 0.085 0.598 0.507
Co 0.585 0.902 0.993
```

## Properties
* space-group type: Pnma (62)
* energy above the most stable polymorph in this dataset: 231.4 meV/atom
* electronic total energy: -50.04 eV for the cell shown

Calculated size of the total moment in order - 0.0 0.0 0.0 0.6 0.7 1.8 μB/f.u.